Entry 1:
Compound: CaBiF6
Source: Alexandria
Functional: PBE
Structure: relaxed

Lattice parameters (Å, degrees): 5.195 5.195 5.665 96.21 96.21 113.46
Fractional positions:
Ca: 0.000 0.000 0.000
Bi: 0.500 0.500 0.500
F: 0.245 0.245 0.736
F: 0.429 0.115 0.257
F: 0.755 0.755 0.264
F: 0.885 0.571 0.743
F: 0.571 0.885 0.743
F: 0.115 0.429 0.257

Computed properties:
E above lowest polymorph = 53 meV per atom
VASP energy = -38.78 eV per cell
Total magnetic moment = 0.926 μB per formula unit
Space group = C2/m

***

Entry 2:
Compound: Cs2HoInSe4
Source: Alexandria
Functional: PBE
Structure: relaxed

Lattice parameters (Å, degrees): 9.043 9.043 8.912 119.51 119.51 90.72
Fractional positions:
Cs: 0.500 0.000 0.000
Cs: 0.500 0.000 0.500
Cs: 0.000 0.000 0.500
Cs: 0.500 0.500 0.000
Ho: 0.000 0.500 0.000
Ho: 0.000 0.500 0.500
In: 0.500 0.500 0.500
In: 0.000 0.000 0.000
Se: 0.188 0.727 0.958
Se: 0.773 0.312 0.542
Se: 0.227 0.688 0.458
Se: 0.812 0.273 0.042
Se: 0.770 0.729 0.954
Se: 0.771 0.730 0.546
Se: 0.229 0.270 0.454
Se: 0.230 0.271 0.046

Computed properties:
VASP energy = -64.21 eV per cell
Total magnetic moment = 0.000 μB per formula unit
Space group = Imma

***

Entry 3:
Compound: Li3SiRh
Source: Alexandria
Functional: PBE
Structure: relaxed

Lattice parameters (Å, degrees): 4.472 4.472 4.472 90.00 90.00 90.00
Fractional positions:
Si: 0.000 0.000 0.000
Rh: 0.500 0.500 0.500
Li: 0.000 0.500 0.000
Li: 0.000 0.000 0.500
Li: 0.500 0.000 0.000

Computed properties:
E above lowest polymorph = 104 meV per atom
VASP energy = -15.33 eV per cell
Total magnetic moment = 0.000 μB per formula unit
Space group = Pm-3m

***

Entry 4:
Compound: CsSnF3
Source: Alexandria
Functional: PBE
Structure: relaxed

Lattice parameters (Å, degrees): 8.817 8.817 8.817 60.00 60.00 60.00
Fractional positions:
Cs: 0.625 0.625 0.625
Cs: 0.625 0.625 0.125
Cs: 0.625 0.125 0.625
Cs: 0.125 0.625 0.625
Sn: 0.125 0.125 0.125
Sn: 0.125 0.125 0.625
Sn: 0.125 0.625 0.125
Sn: 0.625 0.125 0.125
F: 0.207 0.793 0.207
F: 0.457 0.043 0.457
F: 0.043 0.457 0.457
F: 0.043 0.457 0.043
F: 0.043 0.043 0.457
F: 0.793 0.793 0.207
F: 0.457 0.457 0.043
F: 0.457 0.043 0.043
F: 0.207 0.207 0.793
F: 0.793 0.207 0.793
F: 0.793 0.207 0.207
F: 0.207 0.793 0.793

Computed properties:
VASP energy = -90.04 eV per cell
Total magnetic moment = 0.000 μB per formula unit
Space group = Fd-3m

***

Q: Which Fermi-level density of states values were calculated for the entries above? A: 2.46; 2.79; 3.46; 0.00, in states/eV/f.u..
Q: Which ΔE_f (raw) values were calculated for the entries above? A: -2709; -1143; 637; -2408, in meV/atom.